# Cs3V5O12

A relaxed Cs3V5O12 crystal (PBE+U, the Alexandria database).

a b c (Å): 13.539 13.539 13.539
angles (deg): 90.00 90.00 90.00
Space group Ia-3d (No. 230)
One atom of each set of equivalent atoms:
Cs1 0.000 0.250 0.125 (multiplicity 24)
V1 0.000 0.000 0.000 (multiplicity 16)
V2 0.000 0.250 0.375 (multiplicity 24)
O1 0.027 0.147 0.950 (multiplicity 96)

Output
M_tot in μB per formula unit: 4.00
E_tot in eV/atom: -6.7669